TiMnVN after structural relaxation, computed with GGA-PBE.

Cell: 2.9144 2.9144 10.6488 Å, 90.00 90.00 90.00°
Last column: nearest neighbours and their distance in Å.
Element x y z (fractional)
Mn (0.0000, 0.0000, 0.1920)  1 N 1.91
V (0.5000, 0.5000, 0.3487)  4 N 2.08
Ti (0.0000, 0.0000, 0.5612)  1 N 2.02
Mn (0.5000, 0.5000, 0.6920)  1 N 1.91
N (0.5000, 0.5000, 0.8716)  1 Mn 1.91, 1 Ti 2.02, 4 V 2.08
V (0.0000, 0.0000, 0.8487)  4 N 2.08
N (0.0000, 0.0000, 0.3716)  1 Mn 1.91, 1 Ti 2.02, 4 V 2.08
Ti (0.5000, 0.5000, 0.0612)  1 N 2.02

Results
Offset from the most stable computed form, meV/atom: 223.0
Volume, Å³ per cell: 90.4
E_form (uncorrected), eV per atom: -0.703
E_tot, eV/atom: -9.330
Magnetic moment, μB per formula unit: 0.00
Fermi-level density of states, states/eV/atom: 0.763

=====

CaTb4Au5 after structural relaxation, computed with GGA-PBE.

Cell: 3.6015 3.6015 18.3412 Å, 90.00 90.00 90.00°
Last column: nearest neighbours and their distance in Å.
Element x y z (fractional)
Au (0.5000, 0.5000, 0.1088)  4 Tb 3.05, 4 Ca 3.24
Ca (0.0000, 0.0000, 0.0000)  8 Au 3.24, 4 Ca 3.60
Tb (0.0000, 0.0000, 0.4005)  8 Au 3.13
Tb (0.0000, 0.0000, 0.5995)  8 Au 3.13
Au (0.5000, 0.5000, 0.3012)  8 Tb 3.13-3.15
Au (0.5000, 0.5000, 0.6988)  8 Tb 3.13-3.15
Au (0.5000, 0.5000, 0.8912)  4 Tb 3.05, 4 Ca 3.24
Au (0.5000, 0.5000, 0.5000)  8 Tb 3.13
Tb (0.0000, 0.0000, 0.7999)  8 Au 3.05-3.15
Tb (0.0000, 0.0000, 0.2001)  8 Au 3.05-3.15

Results
Volume, Å³ per cell: 237.9
Formation energy, eV per atom: -0.84
E_tot, eV/atom: -4.535
Magnetic moment, μB per formula unit: 0.00
Fermi-level density of states, states/eV/atom: 0.443

=====

Pm7TlRu4 after structural relaxation, computed with GGA-PBE.

Cell: 5.7568 8.4691 7.4637 Å, 76.15 67.32 70.13°
Last column: nearest neighbours and their distance in Å.
Element x y z (fractional)
Ru (0.3019, 0.3450, 0.0511)  2 Pm 2.61-2.81
Ru (0.4366, 0.7744, 0.3524)  3 Pm 2.66-2.94
Pm (0.2095, 0.1195, 0.4615)  2 Ru 2.94-3.15, 1 Pm 3.20
Tl (0.0000, 0.0000, 0.0000)  4 Pm 2.88-3.20
Pm (0.6748, 0.3721, 0.2783)  1 Ru 2.66
Pm (0.3252, 0.6279, 0.7217)  1 Ru 2.66
Pm (0.5000, 0.0000, 0.0000)  4 Ru 2.81-2.83, 2 Tl 2.88
Pm (0.7905, 0.8805, 0.5385)  2 Ru 2.94-3.15, 1 Pm 3.20
Pm (0.0803, 0.6208, 0.2185)  1 Ru 2.61
Ru (0.5634, 0.2256, 0.6476)  3 Pm 2.66-2.94
Pm (0.9197, 0.3792, 0.7815)  1 Ru 2.61
Ru (0.6981, 0.6550, 0.9489)  2 Pm 2.61-2.81

Results
Volume, Å³ per cell: 313.3
Formation energy, eV per atom: 0.00
E_tot, eV/atom: -6.057
Magnetic moment, μB per formula unit: 0.00
Fermi-level density of states, states/eV/atom: 0.816

=====

Nd3Zn4Ni2 after structural relaxation, computed with GGA-PBE.

Cell: 4.5846 5.4454 8.3368 Å, 100.07 90.00 114.90°
Last column: nearest neighbours and their distance in Å.
Element x y z (fractional)
Zn (0.7117, 0.4235, 0.0827)  1 Ni 2.46
Zn (0.2883, 0.5765, 0.9173)  1 Ni 2.46
Ni (0.3145, 0.6291, 0.6293)  4 Zn 2.46-2.51
Nd (0.6186, 0.2372, 0.6967)  4 Ni 2.92-3.12, 6 Zn 3.08-3.20
Nd (0.3814, 0.7628, 0.3033)  4 Ni 2.92-3.12, 6 Zn 3.08-3.20
Zn (0.0999, 0.1998, 0.4109)  3 Ni 2.49-2.51, 1 Zn 2.69
Zn (0.9001, 0.8002, 0.5891)  3 Ni 2.49-2.51, 1 Zn 2.69
Ni (0.6855, 0.3709, 0.3707)  4 Zn 2.46-2.51
Nd (0.0000, 0.0000, 0.0000)  8 Zn 3.06-3.38

Results
Offset from the most stable computed form, meV/atom: 20.4
Volume, Å³ per cell: 185.3
Formation energy, eV per atom: -0.32
E_tot, eV/atom: -3.763
Magnetic moment, μB per formula unit: 0.00
Fermi-level density of states, states/eV/atom: 0.643

=====

La2CeH12Rh3 after structural relaxation, computed with GGA-PBE.

Cell: 6.2453 6.2453 6.2453 Å, 64.61 64.61 64.61°
Last column: nearest neighbours and their distance in Å.
Element x y z (fractional)
H (0.1360, 0.1360, 0.5728)  1 Rh 1.71
Rh (0.0000, 0.5000, 0.0000)  6 H 1.71-1.79
Rh (0.0000, 0.0000, 0.5000)  6 H 1.71-1.79
La (0.6135, 0.6135, 0.6135)  3 H 2.29
H (0.2840, 0.8822, 0.2840)  2 Rh 1.79
H (0.7160, 0.1178, 0.7160)  2 Rh 1.79
Ce (0.0000, 0.0000, 0.0000)  6 H 2.30
H (0.2840, 0.2840, 0.8822)  2 Rh 1.79
H (0.1360, 0.5728, 0.1360)  1 Rh 1.71
H (0.8822, 0.2840, 0.2840)  2 Rh 1.79
H (0.7160, 0.7160, 0.1178)  2 Rh 1.79
H (0.4272, 0.8640, 0.8640)  1 Rh 1.71
La (0.3865, 0.3865, 0.3865)  3 H 2.29
Rh (0.5000, 0.0000, 0.0000)  6 H 1.71-1.79
H (0.1178, 0.7160, 0.7160)  2 Rh 1.79
H (0.8640, 0.8640, 0.4272)  1 Rh 1.71
H (0.5728, 0.1360, 0.1360)  1 Rh 1.71
H (0.8640, 0.4272, 0.8640)  1 Rh 1.71

Results
Volume, Å³ per cell: 189.7
E_tot, eV/atom: -4.707
Magnetic moment, μB per formula unit: 1.98
Fermi-level density of states, states/eV/atom: 0.750

=====

BaTa3Pd after structural relaxation, computed with GGA-PBE.

Cell: 5.0343 5.0343 5.0343 Å, 90.00 90.00 90.00°
Last column: nearest neighbours and their distance in Å.
Element x y z (fractional)
Pd (0.0000, 0.0000, 0.0000)  6 Ta 2.52
Ba (0.5000, 0.5000, 0.5000)  12 Ta 3.56
Ta (0.5000, 0.0000, 0.0000)  2 Pd 2.52
Ta (0.0000, 0.0000, 0.5000)  2 Pd 2.52
Ta (0.0000, 0.5000, 0.0000)  2 Pd 2.52

Results
Offset from the most stable computed form, meV/atom: 0.0
Volume, Å³ per cell: 127.6
Formation energy, eV per atom: 1.36
E_tot, eV/atom: -7.178
Magnetic moment, μB per formula unit: 0.00
Fermi-level density of states, states/eV/atom: 1.674